# Pm3Ga4Ge2

A relaxed Pm3Ga4Ge2 crystal (PBE, Alexandria).

Results
**Energy relative to the elements**: -0.711 eV/atom
**Calculated total energy**: -4.6661 eV/atom
**Spin magnetization**: 0.00 μB per formula unit

a = 4.2323 Å, b = 6.0168 Å, c = 8.4840 Å
α = 99.29°, β = 90.00°, γ = 110.59°
Element x y z (fractional)
Pm 0.6677 0.3354 0.6670
Pm 0.0000 0.0000 0.0000
Pm 0.3323 0.6646 0.3330
Ga 0.7063 0.4125 0.0364
Ga 0.2937 0.5875 0.9636
Ga 0.9688 0.9376 0.6328
Ga 0.0312 0.0624 0.3672
Ge 0.6285 0.2569 0.2948
Ge 0.3715 0.7431 0.7052